## KNa2Y (PBE-GGA)

Data for crystalline KNa2Y at its relaxed geometry.

Properties
DFT formation energy: 30.7 kJ per mole of atoms
space-group type: No. 166
offset from the most stable computed form: 0.000 eV/f.u.
theoretical density: 1.768 g/cm³

Cell: 3.641 3.641 14.381 Å, 82.73 82.73 60.00°
Site moments in Bohr magnetons follow the coordinates.
Fractional coordinates of all 4 atoms:
Y: 0.000 0.000 0.000  0.09
Na: 0.081 0.081 0.758  0.00
Na: 0.919 0.919 0.242  0.00
K: 0.500 0.500 0.500  0.00

---

## RbCO2 (PBE-GGA)

Data for crystalline RbCO2 at its relaxed geometry.

Properties
space-group type: No. 15
E_form (uncorrected): -211 kJ/mol of formula units
theoretical density: 1.740 g/cm³

Cell: 3.922 10.076 8.478 Å, 118.48 85.97 120.51°
Fractional coordinates of all 8 atoms:
Rb: 0.084 0.334 0.168
Rb: 0.916 0.666 0.832
C: 0.750 0.000 0.500
C: 0.250 0.000 0.500
O: 0.559 0.033 0.400
O: 0.841 0.867 0.400
O: 0.441 0.967 0.600
O: 0.159 0.133 0.600

---

## BaZr2Pt (PBE-GGA)

Data for crystalline BaZr2Pt at its relaxed geometry.

Properties
DFT formation energy: -10.9 kJ per mole of atoms
space-group type: No. 12
offset from the most stable computed form: 0.696 eV/f.u.
theoretical density: 7.991 g/cm³

Cell: 6.334 6.334 5.654 Å, 69.40 69.40 30.43°
Fractional coordinates of all 4 atoms:
Ba: 0.750 0.750 0.750
Pt: 0.250 0.250 0.250
Zr: 0.951 0.951 0.075
Zr: 0.549 0.549 0.425